(1)
Sm8Tm3Mg2 after structural relaxation, computed with PBE.

abc: 10.3742 10.3742 5.6094
angles: 90.00 90.00 134.59
Closest atoms and distances in Å follow each position.
Sites, in units of the cell vectors:
Sm1 0.1300 0.8700 0.0000  4 Tm 3.42-3.75, 2 Mg 3.46, 5 Sm 3.67-3.79
Sm2 0.1808 0.4058 0.5000  3 Tm 3.19-3.54, 3 Sm 3.31-3.45, 2 Mg 3.33-3.35
Sm3 0.3280 0.6720 0.0000  2 Mg 3.32, 4 Sm 3.45, 2 Tm 3.69
Sm4 0.4058 0.1808 0.5000  3 Tm 3.19-3.54, 3 Sm 3.31-3.45, 2 Mg 3.33-3.35
Sm5 0.5942 0.8192 0.5000  3 Tm 3.19-3.54, 3 Sm 3.31-3.45, 2 Mg 3.33-3.35
Sm6 0.6720 0.3280 0.0000  2 Mg 3.32, 4 Sm 3.45, 2 Tm 3.69
Sm7 0.8192 0.5942 0.5000  3 Tm 3.19-3.54, 3 Sm 3.31-3.45, 2 Mg 3.33-3.35
Sm8 0.8700 0.1300 0.0000  4 Tm 3.42-3.75, 2 Mg 3.46, 5 Sm 3.67-3.79
Tm1 0.0000 0.0000 0.5000  4 Sm 3.19
Tm2 0.2933 0.2933 0.0000  3 Tm 3.31-3.66, 8 Sm 3.42-3.69
Tm3 0.7067 0.7067 0.0000  3 Tm 3.31-3.66, 8 Sm 3.42-3.69
Mg1 0.2355 0.7645 0.5000  8 Sm 3.32-3.46
Mg2 0.7645 0.2355 0.5000  8 Sm 3.32-3.46

Computed properties:
**Energy relative to the elements**: 0.151 eV/atom
**Space group**: Cmmm
**E_tot**: -52.4 eV per cell
**N(E_F)**: 15.224 states/eV/cell
**Volume**: 429.90 Å³ per cell
**Density**: 6.79 g/cm³

(2)
Sm7Tm4Mg after structural relaxation, computed with PBE.

abc: 6.2380 6.2380 13.0402
angles: 103.82 103.82 52.35
Closest atoms and distances in Å follow each position.
Sites, in units of the cell vectors:
Sm1 0.0000 0.0000 0.0000  2 Mg 2.75, 2 Sm 3.00, 2 Tm 3.07
Sm2 0.1388 0.1388 0.4674  4 Tm 3.32-3.58, 4 Sm 3.43-3.70
Sm3 0.2734 0.2734 0.1034  1 Sm 3.00, 1 Mg 3.17
Sm4 0.3400 0.3400 0.7430  1 Mg 3.35, 4 Tm 3.43-3.55, 1 Sm 3.70
Sm5 0.6600 0.6600 0.2570  1 Mg 3.35, 4 Tm 3.43-3.55, 1 Sm 3.70
Sm6 0.7266 0.7266 0.8966  1 Sm 3.00, 1 Mg 3.17
Sm7 0.8612 0.8612 0.5326  4 Tm 3.32-3.58, 4 Sm 3.43-3.70
Tm1 0.0471 0.0471 0.7783  3 Sm 3.07-3.43
Tm2 0.4084 0.4084 0.3727  3 Tm 3.41-3.50, 7 Sm 3.43-3.75
Tm3 0.5916 0.5916 0.6273  3 Tm 3.41-3.50, 7 Sm 3.43-3.75
Tm4 0.9529 0.9529 0.2217  3 Sm 3.07-3.43
Mg1 0.5000 0.5000 0.0000  2 Sm 2.75

Computed properties:
**Energy relative to the elements**: 0.213 eV/atom
**Space group**: C2/m
**E_tot**: -50.0 eV per cell
**N(E_F)**: 15.845 states/eV/cell
**Volume**: 387.29 Å³ per cell
**Density**: 7.51 g/cm³

(3)
Sm2Tm3Mg after structural relaxation, computed with PBE.

abc: 7.5320 7.5320 6.7267
angles: 93.64 93.64 98.99
Closest atoms and distances in Å follow each position.
Sites, in units of the cell vectors:
Sm1 0.0704 0.6028 0.8035  2 Sm 3.30-3.35, 2 Mg 3.34-3.41, 5 Tm 3.45-3.64
Sm2 0.3972 0.9296 0.6965  2 Sm 3.30-3.35, 2 Mg 3.34-3.41, 5 Tm 3.45-3.64
Sm3 0.6028 0.0704 0.3035  2 Sm 3.30-3.35, 2 Mg 3.34-3.41, 5 Tm 3.45-3.64
Sm4 0.9296 0.3972 0.1965  2 Sm 3.30-3.35, 2 Mg 3.34-3.41, 5 Tm 3.45-3.64
Tm1 0.0480 0.9520 0.2500  1 Mg 3.12, 2 Tm 3.43
Tm2 0.2915 0.3264 0.5128  2 Mg 3.25-3.27, 4 Tm 3.39-3.57, 4 Sm 3.45-3.56
Tm3 0.3264 0.2915 0.0128  2 Mg 3.25-3.27, 4 Tm 3.39-3.57, 4 Sm 3.45-3.56
Tm4 0.6736 0.7085 0.9872  2 Mg 3.25-3.27, 4 Tm 3.39-3.57, 4 Sm 3.45-3.56
Tm5 0.7085 0.6736 0.4872  2 Mg 3.25-3.27, 4 Tm 3.39-3.57, 4 Sm 3.45-3.56
Tm6 0.9520 0.0480 0.7500  1 Mg 3.12, 2 Tm 3.43
Mg1 0.3202 0.6798 0.2500  5 Tm 3.12-3.27, 4 Sm 3.34-3.41
Mg2 0.6798 0.3202 0.7500  5 Tm 3.12-3.27, 4 Sm 3.34-3.41

Computed properties:
**Energy relative to the elements**: 0.137 eV/atom
**Space group**: C2/c
**E_tot**: -47.3 eV per cell
**N(E_F)**: 14.932 states/eV/cell
**Volume**: 375.11 Å³ per cell
**Density**: 7.36 g/cm³

(4)
SmTm2Mg after structural relaxation, computed with PBE.

abc: 5.4827 5.4827 5.4827
angles: 60.00 60.00 60.00
Closest atoms and distances in Å follow each position.
Sites, in units of the cell vectors:
Sm1 0.0000 0.0000 0.0000  8 Tm 3.36
Tm1 0.2500 0.2500 0.2500  4 Mg 3.36, 4 Sm 3.36
Tm2 0.7500 0.7500 0.7500  4 Mg 3.36, 4 Sm 3.36
Mg1 0.5000 0.5000 0.5000  8 Tm 3.36

Computed properties:
**Energy relative to the elements**: 0.098 eV/atom
**Space group**: Fm-3m
**E_tot**: -14.9 eV per cell
**N(E_F)**: 5.769 states/eV/cell
**Volume**: 116.54 Å³ per cell
**Density**: 7.30 g/cm³

What did the first record say?
Sm8Tm3Mg2 after structural relaxation, computed with PBE.

abc: 10.3742 10.3742 5.6094
angles: 90.00 90.00 134.59
Closest atoms and distances in Å follow each position.
Sites, in units of the cell vectors:
Sm1 0.1300 0.8700 0.0000  4 Tm 3.42-3.75, 2 Mg 3.46, 5 Sm 3.67-3.79
Sm2 0.1808 0.4058 0.5000  3 Tm 3.19-3.54, 3 Sm 3.31-3.45, 2 Mg 3.33-3.35
Sm3 0.3280 0.6720 0.0000  2 Mg 3.32, 4 Sm 3.45, 2 Tm 3.69
Sm4 0.4058 0.1808 0.5000  3 Tm 3.19-3.54, 3 Sm 3.31-3.45, 2 Mg 3.33-3.35
Sm5 0.5942 0.8192 0.5000  3 Tm 3.19-3.54, 3 Sm 3.31-3.45, 2 Mg 3.33-3.35
Sm6 0.6720 0.3280 0.0000  2 Mg 3.32, 4 Sm 3.45, 2 Tm 3.69
Sm7 0.8192 0.5942 0.5000  3 Tm 3.19-3.54, 3 Sm 3.31-3.45, 2 Mg 3.33-3.35
Sm8 0.8700 0.1300 0.0000  4 Tm 3.42-3.75, 2 Mg 3.46, 5 Sm 3.67-3.79
Tm1 0.0000 0.0000 0.5000  4 Sm 3.19
Tm2 0.2933 0.2933 0.0000  3 Tm 3.31-3.66, 8 Sm 3.42-3.69
Tm3 0.7067 0.7067 0.0000  3 Tm 3.31-3.66, 8 Sm 3.42-3.69
Mg1 0.2355 0.7645 0.5000  8 Sm 3.32-3.46
Mg2 0.7645 0.2355 0.5000  8 Sm 3.32-3.46

Computed properties:
**Energy relative to the elements**: 0.151 eV/atom
**Space group**: Cmmm
**E_tot**: -52.4 eV per cell
**N(E_F)**: 15.224 states/eV/cell
**Volume**: 429.90 Å³ per cell
**Density**: 6.79 g/cm³